Li2Cd2Hg2Pb: relaxed, PBE.

Lattice parameters (Å, degrees): 7.8741 7.8741 7.8741 36.59 36.59 36.59
Last column: nearest neighbours and their distance in Å.
Atoms (fractional coordinates):
Li (0.2180, 0.2180, 0.2180)  4 Cd 2.96-3.04, 1 Hg 3.01, 3 Pb 3.07
Li (0.7820, 0.7820, 0.7820)  4 Cd 2.96-3.04, 1 Hg 3.01, 3 Pb 3.07
Cd (0.0801, 0.0801, 0.0801)  4 Li 2.96-3.04, 3 Hg 3.13
Cd (0.9199, 0.9199, 0.9199)  4 Li 2.96-3.04, 3 Hg 3.13
Hg (0.3547, 0.3547, 0.3547)  3 Hg 3.00, 1 Li 3.01, 3 Cd 3.13, 1 Pb 3.20
Hg (0.6453, 0.6453, 0.6453)  3 Hg 3.00, 1 Li 3.01, 3 Cd 3.13, 1 Pb 3.20
Pb (0.5000, 0.5000, 0.5000)  6 Li 3.07, 2 Hg 3.20, 6 Cd 3.43

Values from the calculation:
N(E_F) in states/eV per atom: 0.2742
Formation enthalpy at 0 K in meV/atom: -129
Calculated density in kg/m³: 9057

***

Li5Cd2Hg2Pb: relaxed, PBE.

Lattice parameters (Å, degrees): 10.5639 10.5639 3.7163 90.00 90.00 90.00
Last column: nearest neighbours and their distance in Å.
Atoms (fractional coordinates):
Li (0.0000, 0.5000, 0.0000)  4 Hg 2.73, 4 Cd 3.03
Li (0.1098, 0.1786, 0.0000)  2 Hg 2.73, 2 Pb 2.89
Li (0.1786, 0.8902, 0.0000)  2 Hg 2.73, 2 Pb 2.89
Li (0.3214, 0.3902, 0.0000)  2 Hg 2.73, 2 Pb 2.89
Li (0.3902, 0.6786, 0.0000)  2 Hg 2.73, 2 Pb 2.89
Li (0.5000, 0.0000, 0.0000)  4 Hg 2.73, 4 Cd 3.03
Li (0.6098, 0.3214, 0.0000)  2 Hg 2.73, 2 Pb 2.89
Li (0.6786, 0.6098, 0.0000)  2 Hg 2.73, 2 Pb 2.89
Li (0.8214, 0.1098, 0.0000)  2 Hg 2.73, 2 Pb 2.89
Li (0.8902, 0.8214, 0.0000)  2 Hg 2.73, 2 Pb 2.89
Cd (0.1604, 0.6604, 0.5000)  6 Li 3.03-3.06, 3 Hg 3.07-3.12
Cd (0.3396, 0.1604, 0.5000)  6 Li 3.03-3.06, 3 Hg 3.07-3.12
Cd (0.6604, 0.8396, 0.5000)  6 Li 3.03-3.06, 3 Hg 3.07-3.12
Cd (0.8396, 0.3396, 0.5000)  6 Li 3.03-3.06, 3 Hg 3.07-3.12
Hg (0.1338, 0.3662, 0.5000)  6 Li 2.73
Hg (0.3662, 0.8662, 0.5000)  6 Li 2.73
Hg (0.6338, 0.1338, 0.5000)  6 Li 2.73
Hg (0.8662, 0.6338, 0.5000)  6 Li 2.73
Pb (0.0000, 0.0000, 0.5000)  8 Li 2.89
Pb (0.5000, 0.5000, 0.5000)  8 Li 2.89

Values from the calculation:
N(E_F) in states/eV per atom: 0.3582
Formation enthalpy at 0 K in meV/atom: -214
Calculated density in kg/m³: 6950

***

LiCdHg2Pb: relaxed, PBE.

Lattice parameters (Å, degrees): 4.8701 4.8701 6.4910 90.00 90.00 120.00
Last column: nearest neighbours and their distance in Å.
Atoms (fractional coordinates):
Li (0.0000, 0.0000, 0.0000)  4 Hg 2.91-2.92
Cd (0.3333, 0.6667, 0.6785)  4 Hg 2.89-2.93
Hg (0.0000, 0.0000, 0.5524)  1 Li 2.91, 3 Cd 2.93, 3 Pb 3.20
Hg (0.3333, 0.6667, 0.1236)  1 Cd 2.89, 3 Li 2.92, 3 Pb 3.08
Pb (0.6667, 0.3333, 0.3160)  6 Hg 3.08-3.20

Values from the calculation:
N(E_F) in states/eV per atom: 0.3441
Formation enthalpy at 0 K in meV/atom: -53
Calculated density in kg/m³: 9064

***

LiCdHgPb: relaxed, PBE.

Lattice parameters (Å, degrees): 5.3313 5.3313 4.6771 113.53 113.53 51.89
Last column: nearest neighbours and their distance in Å.
Atoms (fractional coordinates):
Li (0.0000, 0.0000, 0.0000)  4 Hg 3.06-3.30, 4 Pb 3.10-3.24, 4 Cd 3.26-3.35
Cd (0.4995, 0.4995, 0.4857)  4 Hg 3.10-3.26, 4 Pb 3.14-3.22, 4 Li 3.26-3.35
Hg (0.7500, 0.7500, 0.2379)  4 Li 3.06-3.30, 4 Cd 3.10-3.26, 4 Pb 3.27-3.33
Pb (0.2493, 0.2493, 0.7462)  4 Li 3.10-3.24, 4 Cd 3.14-3.22, 4 Hg 3.27-3.33

Values from the calculation:
N(E_F) in states/eV per atom: 0.3730
Formation enthalpy at 0 K in meV/atom: -121
Calculated density in kg/m³: 9340